Model 1:
DFT (PBEsol) results for ZnCoMo after structural relaxation.

Cell lengths 2.692, 2.692, 5.583 Å; angles 103.96, 103.96, 89.96 degrees
Fractional coordinates of all 3 atoms:
Mo: 0.344 0.344 0.689
Co: 0.001 0.001 0.003
Zn: 0.654 0.654 0.309

Output
Fermi-level density of states = 0.72 states/eV/atom

Model 2:
DFT (PBEsol) results for ZnCoMo after structural relaxation.

Cell lengths 2.663, 2.663, 6.395 Å; angles 90.00, 90.00, 120.00 degrees
Fractional coordinates of all 3 atoms:
Co: 0.000 0.000 0.998
Mo: 0.333 0.667 0.686
Zn: 0.667 0.333 0.316

Output
Fermi-level density of states = 0.85 states/eV/atom

Which one sits at the top of the stability order? model 1 does.